(1)
{
  "formula": "K2Ta2NbSe6",
  "functional": "PBE-GGA",
  "state": "optimized geometry",
  "cell": [[6.347, -0.101, 0.117], [-3.225, 5.467, 0.117], [-1.016, -1.747, 8.161]],
  "species": ["Nb", "K", "K", "Ta", "Ta", "Se", "Se", "Se", "Se", "Se", "Se"],
  "fractional_positions": [[0.000, 0.000, 0.500], [0.826, 0.174, 0.000], [0.174, 0.826, 0.000], [0.632, 0.368, 0.500], [0.368, 0.632, 0.500], [0.608, 0.955, 0.317], [0.266, 0.266, 0.281], [0.955, 0.608, 0.317], [0.045, 0.392, 0.683], [0.392, 0.045, 0.683], [0.734, 0.734, 0.719]],
  "formation_energy_uncorrected_ev_per_atom": -0.92,
  "sg": "No. 12",
  "dos_at_fermi_per_ev_cell": 4.2,
  "total_magnetization_mub_per_fu": 0.00
}


(2)
{
  "formula": "AcLaPr6Nd2",
  "functional": "PBE-GGA",
  "state": "optimized geometry",
  "cell": [[-2.524, 9.334, 2.775], [-4.812, -3.936, 6.849], [9.048, 1.484, 1.222]],
  "species": ["Pr", "Pr", "Pr", "Pr", "Pr", "Pr", "Pr", "Pr", "Pr", "Pr", "Pr", "Pr", "La", "La", "Nd", "Nd", "Nd", "Nd", "Ac", "Ac"],
  "fractional_positions": [[0.618, 0.498, 0.705], [0.446, 0.253, 0.880], [0.182, 0.562, 0.024], [0.554, 0.747, 0.120], [0.882, 0.295, 0.502], [0.682, 0.024, 0.562], [0.318, 0.976, 0.438], [0.054, 0.120, 0.747], [0.818, 0.438, 0.976], [0.118, 0.705, 0.498], [0.946, 0.880, 0.253], [0.382, 0.502, 0.295], [0.750, 0.593, 0.407], [0.250, 0.407, 0.593], [0.456, 0.810, 0.696], [0.044, 0.304, 0.190], [0.544, 0.190, 0.304], [0.956, 0.696, 0.810], [0.250, 0.974, 0.026], [0.750, 0.026, 0.974]],
  "sg": "No. 15",
  "dos_at_fermi_per_ev_cell": 30.8,
  "formation_enthalpy_0k_ev_per_atom": 0.1084,
  "total_magnetization_mub_per_fu": 0.00
}